Zr2TaBe9 | PBE-GGA | optimized geometry

Structure (POSCAR):
```
Zr2TaBe9
1.0
2.312 1.335 7.299
-2.312 1.335 7.299
0.000 -2.669 7.299
Zr Ta Be
2 1 9
Cartesian
0.000 0.000 3.031
0.000 0.000 18.867
0.000 0.000 0.000
-1.160 -0.670 8.965
0.000 0.000 7.307
0.000 -1.339 12.933
-1.160 0.670 12.933
0.000 0.000 10.949
1.160 -0.670 8.965
0.000 1.339 8.965
0.000 0.000 14.591
1.160 0.670 12.933
```

## Properties
E_form: -0.15 eV per atom

***

Zr2TaBe | PBE-GGA | optimized geometry

Structure (POSCAR):
```
Zr2TaBe
1.0
2.932 0.000 0.000
0.000 2.932 0.000
0.000 0.000 8.556
Zr Ta Be
2 1 1
Cartesian
0.000 0.000 0.000
1.466 1.466 2.833
1.466 1.466 6.236
0.000 0.000 4.601
```

## Properties
E_form: 0.07 eV per atom

***

ZrTaBe2 | PBE-GGA | optimized geometry

Structure (POSCAR):
```
ZrTaBe2
1.0
0.000 3.079 3.079
3.079 0.000 3.079
3.079 3.079 0.000
Zr Ta Be
1 1 2
Cartesian
0.000 0.000 0.000
3.079 3.079 3.079
1.539 1.539 1.539
4.618 4.618 4.618
```

## Properties
energy relative to the lowest polymorph listed for this composition: 101.4 meV per atom
E_form: 0.04 eV per atom

***

ZrTa2Be | PBE-GGA | optimized geometry

Structure (POSCAR):
```
ZrTa2Be
1.0
2.841 -4.333 0.000
2.841 4.333 0.000
0.000 0.000 2.902
Zr Ta Be
1 2 1
Cartesian
0.000 0.000 0.000
1.421 2.166 1.451
1.421 -2.166 1.451
2.841 0.000 0.000
```

## Properties
E_form: 0.37 eV per atom

***

ZrTaBe3 | PBE-GGA | optimized geometry

Structure (POSCAR):
```
ZrTaBe3
1.0
4.291 0.000 0.000
0.000 4.291 0.000
0.000 0.000 4.291
Zr Ta Be
1 1 3
Cartesian
0.000 0.000 0.000
2.145 2.145 2.145
0.000 0.000 2.145
0.000 2.145 0.000
2.145 0.000 0.000
```

## Properties
energy relative to the lowest polymorph listed for this composition: 643.5 meV per atom
E_form: 1.65 eV per atom

***

ZrTa2Be | PBE-GGA | optimized geometry

Structure (POSCAR):
```
ZrTa2Be
1.0
3.317 0.000 0.000
0.000 3.317 0.000
0.000 0.000 6.266
Zr Ta Be
1 2 1
Cartesian
0.000 0.000 0.000
0.000 0.000 2.905
1.659 1.659 4.457
1.659 1.659 1.680
```

## Properties
E_form: 0.04 eV per atom

***

ZrTa2Be | PBE-GGA | optimized geometry

Structure (POSCAR):
```
ZrTa2Be
1.0
-1.991 1.991 4.442
1.991 -1.991 4.442
1.991 1.991 -4.442
Zr Ta Be
1 2 1
Cartesian
0.000 0.000 0.000
1.991 0.000 2.221
0.000 1.991 2.221
0.000 0.000 4.442
```

## Properties
E_form: 0.19 eV per atom

***

ZrTa2Be | PBE-GGA | optimized geometry

Structure (POSCAR):
```
ZrTa2Be
1.0
1.544 0.892 8.524
-1.544 0.892 8.524
0.000 -1.783 8.524
Zr Ta Be
1 2 1
Cartesian
0.000 0.000 0.000
0.000 0.000 6.027
0.000 0.000 19.546
0.000 0.000 12.786
```

## Properties
E_form: 0.31 eV per atom

***

Number 1: uncorrected energy -0.394 Ry per atom. Number 2: uncorrected energy -0.595 Ry per atom. Number 3: uncorrected energy -0.509 Ry per atom. Number 4: uncorrected energy -0.634 Ry per atom. Number 5: uncorrected energy -0.343 Ry per atom. Number 6: uncorrected energy -0.658 Ry per atom. Number 7: uncorrected energy -0.647 Ry per atom. Number 8: uncorrected energy -0.638 Ry per atom.